First-principles (PBEsol) data for a geometry-optimized FeBr2 structure, as listed in the Alexandria database.

Cell and atoms, written as POSCAR:
```
FeBr2
1.0
-5.053 -1.904 2.485
-0.353 -5.528 2.157
-0.274 -0.888 5.872
Br Fe
4 2
Direct
0.125 0.125 0.125 Br
0.125 0.125 0.625 Br
0.125 0.625 0.125 Br
0.625 0.125 0.125 Br
0.500 0.500 0.500 Fe
0.750 0.750 0.750 Fe
```

Output
The value obtained for the raw total energy is -2.7823 eV per atom. The space group is Fd-3m (227).

---

First-principles (PBEsol) data for a geometry-optimized GaFe2HBr structure, as listed in the Alexandria database.

Cell and atoms, written as POSCAR:
```
GaFe2HBr
1.0
3.725 0.000 0.000
0.000 3.725 0.000
0.000 0.000 5.102
H Ga Br Fe
1 1 1 2
Direct
0.000 0.000 0.000 H
0.500 0.500 0.500 Ga
0.000 0.000 0.500 Br
0.000 0.500 0.000 Fe
0.500 0.000 0.000 Fe
```

Output
The value obtained for the raw total energy is -4.6846 eV per atom. The space group is P4/mmm (123).

---

First-principles (PBEsol) data for a geometry-optimized Ga2FeBrO structure, as listed in the Alexandria database.

Cell and atoms, written as POSCAR:
```
Ga2FeBrO
1.0
3.471 0.000 0.000
0.000 4.883 0.000
0.000 0.000 4.883
O Ga Br Fe
1 2 1 1
Direct
0.500 0.000 0.000 O
0.000 0.000 0.500 Ga
0.000 0.500 0.000 Ga
0.500 0.500 0.500 Br
0.000 0.000 0.000 Fe
```

Output
The value obtained for the raw total energy is -5.0328 eV per atom. The space group is P4/mmm (123).

---

no.,magnetic moment (μB/cell),volume (Å³ per cell)
1,6.05,148.55
2,6.05,70.81
3,0.00,82.76